# 1
The following is a PBE-GGA calculation of crystalline HoZnAgGe at its relaxed geometry, from Alexandria.

Computed properties:
Formation energy   -0.3051 eV/atom
M_tot   0.0000 μB per atom
Space-group type   F-43m
Theoretical density   8.739 g cm⁻³

```
data_HoZnAgGe
_cell_length_a 4.797
_cell_length_b 4.797
_cell_length_c 4.797
_cell_angle_alpha 60.00
_cell_angle_beta 60.00
_cell_angle_gamma 60.00
_symmetry_space_group_name_H-M 'P 1'
_symmetry_Int_Tables_number 1
loop_
_symmetry_equiv_pos_as_xyz
'x,y,z'
loop_
_atom_site_label
_atom_site_fract_x
_atom_site_fract_y
_atom_site_fract_z
Ho1 0.000 0.000 0.000
Zn1 0.750 0.750 0.750
Ag1 0.500 0.500 0.500
Ge1 0.250 0.250 0.250
```

---

# 2
The following is a PBE-GGA calculation of crystalline HfBPRhCl at its relaxed geometry, from Alexandria.

Computed properties:
Relative energy among the computed polymorphs   28 meV per atom
Raw formation energy   -0.607 eV/atom
M_tot   0.0000 μB per atom
Space-group type   Pmm2
Theoretical density   7.171 g cm⁻³

```
data_HfBPRhCl
_cell_length_a 3.249
_cell_length_b 3.535
_cell_length_c 7.230
_cell_angle_alpha 90.00
_cell_angle_beta 90.00
_cell_angle_gamma 90.00
_symmetry_space_group_name_H-M 'P 1'
_symmetry_Int_Tables_number 1
loop_
_symmetry_equiv_pos_as_xyz
'x,y,z'
loop_
_atom_site_label
_atom_site_fract_x
_atom_site_fract_y
_atom_site_fract_z
Hf1 0.000 0.000 0.000
B1 0.500 0.500 0.881
P1 0.000 0.500 0.704
Rh1 0.500 0.000 0.668
Cl1 0.500 0.000 0.279
```

---

# 3
The following is a PBE-GGA calculation of crystalline Pa2CuO8 at its relaxed geometry, from Alexandria.

Computed properties:
Raw formation energy   -2.235 eV/atom
M_tot   0.0909 μB per atom
Space-group type   P-1
Theoretical density   7.739 g cm⁻³

```
data_Pa2CuO8
_cell_length_a 3.757
_cell_length_b 5.534
_cell_length_c 7.106
_cell_angle_alpha 83.87
_cell_angle_beta 75.90
_cell_angle_gamma 78.72
_symmetry_space_group_name_H-M 'P 1'
_symmetry_Int_Tables_number 1
loop_
_symmetry_equiv_pos_as_xyz
'x,y,z'
loop_
_atom_site_label
_atom_site_fract_x
_atom_site_fract_y
_atom_site_fract_z
Pa1 0.118 0.092 0.227
Pa2 0.882 0.908 0.773
Cu1 0.500 0.500 0.500
O1 0.120 0.494 0.056
O2 0.146 0.772 0.436
O3 0.288 0.069 0.883
O4 0.482 0.697 0.695
O5 0.518 0.303 0.305
O6 0.712 0.931 0.117
O7 0.854 0.228 0.564
O8 0.880 0.506 0.944
```

---

no.,total energy (eV/cell)
1,-14.541
2,-34.276
3,-87.334